Entry 1:
A plane-wave DFT calculation with PBE was carried out for a relaxed K2Sb3 crystal.

**Formation energy without anion corrections**: -11 kJ per mole of atoms
**Total moment**: 0.00 μB/cell
**Fermi-level density of states**: 0.538 states/eV/atom
**SG**: P-3m1 (164)
**Calculated total energy**: -15.145 eV for the cell shown

abc: 4.3367 4.3367 12.3902
angles: 90.00 90.00 120.00
With the nearest neighbours (Å) after each atom.
Fractional positions:
K1 0.3333 0.6667 0.2993  6 Sb 3.53-3.89
K2 0.6667 0.3333 0.7007  6 Sb 3.53-3.89
Sb1 0.0000 0.0000 0.5000  6 K 3.53
Sb2 0.3333 0.6667 0.9408  3 Sb 2.90
Sb3 0.6667 0.3333 0.0592  3 Sb 2.90

Entry 2:
A plane-wave DFT calculation with PBE was carried out for a relaxed KSb3 crystal.

**Formation energy without anion corrections**: 2 kJ per mole of atoms
**Total moment**: 0.00 μB/cell
**Fermi-level density of states**: 0.674 states/eV/atom
**SG**: R-3m (166)
**Polymorph energy (0 for the lowest one)**: 161 meV/atom
**Calculated total energy**: -13.390 eV for the cell shown

abc: 6.7092 6.7092 6.7092
angles: 117.64 117.64 117.64
With the nearest neighbours (Å) after each atom.
Fractional positions:
K1 0.0000 0.0000 0.0000  2 K 3.12, 6 Sb 3.47
Sb1 0.0000 0.5000 0.5000  6 Sb 3.12-3.47, 2 K 3.47
Sb2 0.5000 0.0000 0.5000  6 Sb 3.12-3.47, 2 K 3.47
Sb3 0.5000 0.5000 0.0000  6 Sb 3.12-3.47, 2 K 3.47

Entry 3:
A plane-wave DFT calculation with PBE was carried out for a relaxed KSb3 crystal.

**Formation energy without anion corrections**: 25 kJ per mole of atoms
**Total moment**: 0.00 μB/cell
**Fermi-level density of states**: 0.969 states/eV/atom
**SG**: P6_3/mmc (194)
**Polymorph energy (0 for the lowest one)**: 398 meV/atom
**Calculated total energy**: -24.883 eV for the cell shown

abc: 5.5573 5.5573 9.7709
angles: 90.00 90.00 120.00
With the nearest neighbours (Å) after each atom.
Fractional positions:
K1 0.3333 0.6667 0.2500  11 Sb 3.21-3.53
K2 0.6667 0.3333 0.7500  11 Sb 3.21-3.53
Sb1 0.0000 0.0000 0.2500  3 K 3.21, 6 Sb 3.53
Sb2 0.0000 0.0000 0.7500  3 K 3.21, 6 Sb 3.53
Sb3 0.3333 0.6667 0.5987  1 Sb 2.96
Sb4 0.3333 0.6667 0.9013  1 Sb 2.96
Sb5 0.6667 0.3333 0.0987  1 Sb 2.96
Sb6 0.6667 0.3333 0.4013  1 Sb 2.96

Entry 4:
A plane-wave DFT calculation with PBE was carried out for a relaxed KSb4 crystal.

**Formation energy without anion corrections**: -10 kJ per mole of atoms
**Total moment**: 0.00 μB/cell
**Fermi-level density of states**: 0.313 states/eV/atom
**SG**: I4/mmm (139)
**Polymorph energy (0 for the lowest one)**: 0 meV/atom
**Calculated total energy**: -18.121 eV for the cell shown

abc: 6.8772 6.8772 6.8772
angles: 131.08 131.08 71.68
With the nearest neighbours (Å) after each atom.
Fractional positions:
K1 0.0000 0.0000 0.0000  10 Sb 3.89-3.98
Sb1 0.2500 0.7500 0.5000  4 Sb 3.05
Sb2 0.3488 0.3488 0.0000  5 Sb 3.05-3.37
Sb3 0.6512 0.6512 0.0000  5 Sb 3.05-3.37
Sb4 0.7500 0.2500 0.5000  4 Sb 3.05

Entry 5:
A plane-wave DFT calculation with PBE was carried out for a relaxed K3Sb4 crystal.

**Formation energy without anion corrections**: -32 kJ per mole of atoms
**Total moment**: 0.00 μB/cell
**Fermi-level density of states**: 0.434 states/eV/atom
**SG**: Immm (71)
**Polymorph energy (0 for the lowest one)**: 0 meV/atom
**Calculated total energy**: -22.092 eV for the cell shown

abc: 12.1429 12.1429 12.1429
angles: 159.55 152.90 34.19
With the nearest neighbours (Å) after each atom.
Fractional positions:
K1 0.0000 0.0000 0.0000  8 Sb 4.00, 2 K 4.31
K2 0.1813 0.6813 0.5000  7 Sb 3.61-3.73
K3 0.8187 0.3187 0.5000  7 Sb 3.61-3.73
Sb1 0.3405 0.8405 0.5000  2 Sb 2.88
Sb2 0.4226 0.4226 0.0000  2 Sb 2.88
Sb3 0.5774 0.5774 0.0000  2 Sb 2.88
Sb4 0.6595 0.1595 0.5000  2 Sb 2.88

Entry 6:
A plane-wave DFT calculation with PBE was carried out for a relaxed K5Sb4 crystal.

**Formation energy without anion corrections**: -25 kJ per mole of atoms
**Total moment**: 0.00 μB/cell
**Fermi-level density of states**: 0.550 states/eV/atom
**SG**: P6_3/mcm (193)
**Polymorph energy (0 for the lowest one)**: 183 meV/atom
**Calculated total energy**: -48.600 eV for the cell shown

abc: 11.8903 11.8903 5.8345
angles: 90.00 90.00 120.00
With the nearest neighbours (Å) after each atom.
Fractional positions:
K1 0.0000 0.2677 0.2500  5 Sb 3.44-3.58
K2 0.0000 0.7323 0.7500  5 Sb 3.44-3.58
K3 0.2677 0.0000 0.2500  5 Sb 3.44-3.58
K4 0.2677 0.2677 0.7500  5 Sb 3.44-3.58
K5 0.3333 0.6667 0.0000  2 K 2.92
K6 0.3333 0.6667 0.5000  2 K 2.92
K7 0.6667 0.3333 0.0000  2 K 2.92
K8 0.6667 0.3333 0.5000  2 K 2.92
K9 0.7323 0.0000 0.7500  5 Sb 3.44-3.58
K10 0.7323 0.7323 0.2500  5 Sb 3.44-3.58
Sb1 0.0000 0.0000 0.0000  2 Sb 2.92
Sb2 0.0000 0.0000 0.5000  2 Sb 2.92
Sb3 0.0000 0.4426 0.7500  2 Sb 3.22, 3 K 3.44-3.58
Sb4 0.0000 0.5574 0.2500  2 Sb 3.22, 3 K 3.44-3.58
Sb5 0.4426 0.0000 0.7500  2 Sb 3.22, 3 K 3.44-3.58
Sb6 0.4426 0.4426 0.2500  2 Sb 3.22, 3 K 3.44-3.58
Sb7 0.5574 0.0000 0.2500  2 Sb 3.22, 3 K 3.44-3.58
Sb8 0.5574 0.5574 0.7500  2 Sb 3.22, 3 K 3.44-3.58

Entry 7:
A plane-wave DFT calculation with PBE was carried out for a relaxed K6Sb crystal.

**Formation energy without anion corrections**: 57 kJ per mole of atoms
**Total moment**: 1.65 μB/cell
**Fermi-level density of states**: 1.061 states/eV/atom
**SG**: Im-3m (229)
**Calculated total energy**: -6.603 eV for the cell shown

abc: 9.4137 9.4137 9.4137
angles: 109.47 109.47 109.47
With the nearest neighbours (Å) after each atom.
Fractional positions:
K1 0.2500 0.5000 0.7500  4 K 3.84
K2 0.2500 0.7500 0.5000  4 K 3.84
K3 0.5000 0.2500 0.7500  4 K 3.84
K4 0.5000 0.7500 0.2500  4 K 3.84
K5 0.7500 0.2500 0.5000  4 K 3.84
K6 0.7500 0.5000 0.2500  4 K 3.84
Sb1 0.0000 0.0000 0.0000  none within 6

Entry 8:
A plane-wave DFT calculation with PBE was carried out for a relaxed K4Sb crystal.

**Formation energy without anion corrections**: -22 kJ per mole of atoms
**Total moment**: 0.00 μB/cell
**Fermi-level density of states**: 0.523 states/eV/atom
**SG**: Im-3m (229)
**Polymorph energy (0 for the lowest one)**: 28 meV/atom
**Calculated total energy**: -9.667 eV for the cell shown

abc: 7.1996 7.1996 7.1996
angles: 109.47 109.47 109.47
With the nearest neighbours (Å) after each atom.
Fractional positions:
K1 0.0000 0.0000 0.5000  2 Sb 3.60
K2 0.0000 0.5000 0.0000  2 Sb 3.60
K3 0.5000 0.0000 0.0000  2 Sb 3.60
K4 0.5000 0.5000 0.5000  2 Sb 3.60
Sb1 0.0000 0.0000 0.0000  8 K 3.60

Entry 9:
A plane-wave DFT calculation with PBE was carried out for a relaxed K4Sb crystal.

**Formation energy without anion corrections**: -25 kJ per mole of atoms
**Total moment**: 0.00 μB/cell
**Fermi-level density of states**: 0.322 states/eV/atom
**SG**: Cm (8)
**Polymorph energy (0 for the lowest one)**: 0 meV/atom
**Calculated total energy**: -19.617 eV for the cell shown

abc: 10.6574 10.6574 10.2981
angles: 118.87 118.87 31.18
With the nearest neighbours (Å) after each atom.
Fractional positions:
K1 0.0000 0.0000 0.0000  2 Sb 3.80-3.81
K2 0.1631 0.1631 0.6475  2 Sb 3.60, 2 K 3.67
K3 0.3311 0.3311 0.0224  3 Sb 3.62-3.72, 1 K 3.67
K4 0.3353 0.3353 0.6227  3 Sb 3.66-3.74, 1 K 3.67
K5 0.4998 0.4998 0.4848  8 K 4.07-4.27
K6 0.6644 0.6644 0.9521  3 Sb 3.65-3.74, 1 K 3.66
K7 0.6692 0.6692 0.3608  3 Sb 3.62-3.71, 1 K 3.68
K8 0.8369 0.8369 0.3194  2 Sb 3.60, 2 K 3.66-3.68
Sb1 0.2142 0.2142 0.2047  9 K 3.60-3.81
Sb2 0.7859 0.7859 0.7767  9 K 3.60-3.80

Entry 10:
A plane-wave DFT calculation with PBE was carried out for a relaxed K3Sb5 crystal.

**Formation energy without anion corrections**: -11 kJ per mole of atoms
**Total moment**: 0.48 μB/cell
**Fermi-level density of states**: 1.058 states/eV/atom
**SG**: P6_3/mcm (193)
**Calculated total energy**: -49.602 eV for the cell shown

abc: 10.7857 10.7857 6.1503
angles: 90.00 90.00 120.00
With the nearest neighbours (Å) after each atom.
Fractional positions:
K1 0.0000 0.3817 0.2500  8 Sb 3.59-3.92, 2 K 4.00
K2 0.0000 0.6183 0.7500  8 Sb 3.59-3.92, 2 K 4.00
K3 0.3817 0.0000 0.2500  8 Sb 3.59-3.92, 2 K 4.00
K4 0.3817 0.3817 0.7500  8 Sb 3.59-3.92, 2 K 4.00
K5 0.6183 0.0000 0.7500  8 Sb 3.59-3.92, 2 K 4.00
K6 0.6183 0.6183 0.2500  8 Sb 3.59-3.92, 2 K 4.00
Sb1 0.0000 0.1557 0.7500  2 Sb 2.91
Sb2 0.0000 0.8443 0.2500  2 Sb 2.91
Sb3 0.1557 0.0000 0.7500  2 Sb 2.91
Sb4 0.1557 0.1557 0.2500  2 Sb 2.91
Sb5 0.3333 0.6667 0.0000  2 Sb 3.08
Sb6 0.3333 0.6667 0.5000  2 Sb 3.08
Sb7 0.6667 0.3333 0.0000  2 Sb 3.08
Sb8 0.6667 0.3333 0.5000  2 Sb 3.08
Sb9 0.8443 0.0000 0.2500  2 Sb 2.91
Sb10 0.8443 0.8443 0.7500  2 Sb 2.91